1.
Entry from Alexandria: a relaxed structure of TiTc2MoI (PBE).

Lattice parameters (Å, degrees): 4.5124 4.5124 4.9803 90.00 90.00 90.00
Space group P4/mmm (No. 123)
Symmetry-distinct sites (fractional):
Ti (0.0000, 0.0000, 0.0000) (multiplicity 1)
Tc (0.0000, 0.5000, 0.0000) (multiplicity 2)
Mo (0.5000, 0.5000, 0.5000) (multiplicity 1)
I (0.0000, 0.0000, 0.5000) (multiplicity 1)

Properties
DOS(E_F) in states/eV/atom: 1.641
V in Å³/cell: 101.4
Formation energy (no corrections) in meV/atom: 1803

2.
Entry from Alexandria: a relaxed structure of V2ReMo3 (PBE).

Lattice parameters (Å, degrees): 4.3883 9.3049 4.3740 90.00 90.00 90.00
Space group Cmmm (No. 65)
Symmetry-distinct sites (fractional):
V (0.0000, 0.1652, 0.0000) (multiplicity 4)
Re (0.0000, 0.5000, 0.0000) (multiplicity 2)
Mo (0.0000, 0.0000, 0.5000) (multiplicity 2)
Mo (0.0000, 0.3318, 0.5000) (multiplicity 4)

Properties
DOS(E_F) in states/eV/atom: 0.520
V in Å³/cell: 178.6
E above lowest polymorph in eV/atom: 0.0000
DFT formation energy in meV per atom: -168

3.
Entry from Alexandria: a relaxed structure of TaBe2Cd (PBE).

Lattice parameters (Å, degrees): 3.5815 3.5815 9.0626 90.00 90.00 90.00
Space group I-4m2 (No. 119)
Symmetry-distinct sites (fractional):
Ta (0.0000, 0.0000, 0.0000) (multiplicity 2)
Be (0.0000, 0.0000, 0.5000) (multiplicity 2)
Be (0.0000, 0.5000, 0.7500) (multiplicity 2)
Cd (0.0000, 0.5000, 0.2500) (multiplicity 2)

Properties
DOS(E_F) in states/eV/atom: 1.024
V in Å³/cell: 116.2
DFT formation energy in meV per atom: 533

4.
Entry from Alexandria: a relaxed structure of BaY2TlCu (PBE).

Lattice parameters (Å, degrees): 5.8607 5.8607 5.1540 90.00 90.00 90.00
Space group P4/mmm (No. 123)
Symmetry-distinct sites (fractional):
Ba (0.0000, 0.0000, 0.0000) (multiplicity 1)
Y (0.0000, 0.5000, 0.0000) (multiplicity 2)
Tl (0.5000, 0.5000, 0.5000) (multiplicity 1)
Cu (0.0000, 0.0000, 0.5000) (multiplicity 1)

Properties
DOS(E_F) in states/eV/atom: 0.904
V in Å³/cell: 177.0
E above lowest polymorph in eV/atom: 0.6969
DFT formation energy in meV per atom: 1109

5.
Entry from Alexandria: a relaxed structure of TaTiOsPdPb (PBE).

Lattice parameters (Å, degrees): 14.1945 4.4621 2.9941 90.00 96.59 90.00
Space group Cm (No. 8)
Symmetry-distinct sites (fractional):
Ta (0.0000, 0.0000, 0.0000) (multiplicity 2)
Ti (0.3928, 0.0000, 0.2594) (multiplicity 2)
Os (0.0513, 0.5000, 0.6291) (multiplicity 2)
Pd (0.3241, 0.5000, 0.5844) (multiplicity 2)
Pb (0.1959, 0.0000, 0.6503) (multiplicity 2)

Properties
DOS(E_F) in states/eV/atom: 0.777
V in Å³/cell: 188.4
E above lowest polymorph in eV/atom: 0.1265
DFT formation energy in meV per atom: -69

6.
Entry from Alexandria: a relaxed structure of Li2TcPb (PBE).

Lattice parameters (Å, degrees): 2.8675 4.4584 5.6155 90.00 101.92 90.00
Space group Pm (No. 6)
Symmetry-distinct sites (fractional):
Li (0.0000, 0.0000, 0.0000) (multiplicity 1)
Li (0.1942, 0.5000, 0.7744) (multiplicity 1)
Tc (0.4785, 0.0000, 0.5240) (multiplicity 1)
Pb (0.7845, 0.5000, 0.2854) (multiplicity 1)

Properties
DOS(E_F) in states/eV/atom: 0.882
V in Å³/cell: 70.2
DFT formation energy in meV per atom: 317

> Number 3 is which compound?

TaBe2Cd

> The lowest V belongs to which entry?

Li2TcPb